# 1
# GGA-PBE TaFeSe2, relaxed
data_TaFeSe2
_cell_length_a 3.4128
_cell_length_b 3.8885
_cell_length_c 14.0073
_cell_angle_alpha 90.00
_cell_angle_beta 90.00
_cell_angle_gamma 90.00
_space_group_name_H-M_alt 'I m m m'
_space_group_IT_number 71
_space_group_name_Hall '-I 2 2'
loop_
_atom_site_label
_atom_site_type_symbol
_atom_site_fract_x
_atom_site_fract_y
_atom_site_fract_z
Ta1 Ta 0.0000 0.0000 0.0000
Fe1 Fe 0.0000 0.0000 0.5000
Se1 Se 0.0000 0.5000 0.1264
# ΔE to the lowest computed polymorph (meV per atom): 206
# VASP energy (eV per atom): -7.141
# Spin magnetization (μB/atom): 0.000
# Formation energy without anion corrections (eV per atom): -0.320
# Theoretical density (g cm⁻³): 7.1

---

# 2
# GGA-PBE NaMg2TaAs, relaxed
data_NaMg2TaAs
_cell_length_a 5.1100
_cell_length_b 5.1100
_cell_length_c 4.9049
_cell_angle_alpha 90.00
_cell_angle_beta 90.00
_cell_angle_gamma 90.00
_space_group_name_H-M_alt 'P 4/m m m'
_space_group_IT_number 123
_space_group_name_Hall '-P 4 2'
loop_
_atom_site_label
_atom_site_type_symbol
_atom_site_fract_x
_atom_site_fract_y
_atom_site_fract_z
Na1 Na 0.0000 0.0000 0.0000
Mg1 Mg 0.0000 0.5000 0.5000
Ta1 Ta 0.5000 0.5000 0.0000
As1 As 0.5000 0.5000 0.5000
# ΔE to the lowest computed polymorph (meV per atom): 0
# VASP energy (eV per atom): -3.693
# Spin magnetization (μB/atom): 0.117
# Theoretical density (g cm⁻³): 4.2

---

# 3
# GGA-PBE BeCdSn, relaxed
data_BeCdSn
_cell_length_a 4.0380
_cell_length_b 4.6282
_cell_length_c 6.7879
_cell_angle_alpha 83.22
_cell_angle_beta 72.84
_cell_angle_gamma 89.68
_space_group_name_H-M_alt 'P -1'
_space_group_IT_number 2
_space_group_name_Hall '-P 1'
loop_
_atom_site_label
_atom_site_type_symbol
_atom_site_fract_x
_atom_site_fract_y
_atom_site_fract_z
Be1 Be 0.0000 0.0000 0.0000
Be2 Be 0.0000 0.5000 0.0000
Cd1 Cd 0.1836 0.3018 0.6363
Sn1 Sn 0.4044 0.2219 0.1921
# VASP energy (eV per atom): -2.686
# Spin magnetization (μB/atom): 0.000
# Theoretical density (g cm⁻³): 6.6

---

> Look up the VASP energy of the first one.

-7.141 eV per atom